[1]
An optimized crystal structure of MnAgCl2, computed with PBE.

Lattice parameters (Å, degrees): 6.0343 6.0343 6.0246 105.36 105.36 31.71
Fractional coordinates of all 4 atoms:
Mn (0.0000, 0.0000, 0.0000)
Ag (0.3787, 0.3787, 0.2468)
Cl (0.4027, 0.4027, 0.7085)
Cl (0.6573, 0.6573, 0.1662)

size of the total moment	4.4	μB/f.u.
energy relative to the lowest polymorph listed for this composition	53	meV/atom
symmetry	No. 8
D(E_F)	0.186	states/eV per atom

[2]
An optimized crystal structure of KRh3F, computed with PBE.

Lattice parameters (Å, degrees): 4.9805 4.9805 4.9805 90.00 90.00 90.00
Fractional coordinates of all 5 atoms:
K (0.0000, 0.0000, 0.0000)
Rh (0.0000, 0.0000, 0.5000)
Rh (0.0000, 0.5000, 0.0000)
Rh (0.5000, 0.0000, 0.0000)
F (0.5000, 0.5000, 0.5000)

size of the total moment	4.2	μB/f.u.
energy relative to the lowest polymorph listed for this composition	1369	meV/atom
symmetry	No. 221
D(E_F)	2.202	states/eV per atom

[3]
An optimized crystal structure of Zr3Co4, computed with PBE.

Lattice parameters (Å, degrees): 7.0216 7.0216 7.0216 113.83 113.83 113.83
Fractional coordinates of all 14 atoms:
Zr (0.0100, 0.2633, 0.4018)
Zr (0.2633, 0.4018, 0.0100)
Zr (0.4018, 0.0100, 0.2633)
Zr (0.5982, 0.9900, 0.7367)
Zr (0.7367, 0.5982, 0.9900)
Zr (0.9900, 0.7367, 0.5982)
Co (0.0000, 0.0000, 0.0000)
Co (0.0768, 0.5429, 0.2401)
Co (0.2401, 0.0768, 0.5429)
Co (0.4571, 0.7599, 0.9232)
Co (0.5000, 0.5000, 0.5000)
Co (0.5429, 0.2401, 0.0768)
Co (0.7599, 0.9232, 0.4571)
Co (0.9232, 0.4571, 0.7599)

size of the total moment	0.0	μB/f.u.
energy relative to the lowest polymorph listed for this composition	0	meV/atom
symmetry	No. 148
E_form	-262	meV/atom
D(E_F)	0.888	states/eV per atom

[4]
An optimized crystal structure of YErSn, computed with PBE.

Lattice parameters (Å, degrees): 5.8285 5.8285 5.7026 90.00 90.00 121.42
Fractional coordinates of all 6 atoms:
Y (0.0934, 0.9066, 0.7500)
Y (0.9066, 0.0934, 0.2500)
Er (0.4074, 0.5926, 0.7500)
Er (0.5926, 0.4074, 0.2500)
Sn (0.2499, 0.7501, 0.2500)
Sn (0.7501, 0.2499, 0.7500)

size of the total moment	1.3	μB/f.u.
energy relative to the lowest polymorph listed for this composition	192	meV/atom
symmetry	No. 63
E_form	-419	meV/atom
D(E_F)	1.187	states/eV per atom

Q: What is the D(E_F) in the first record?
A: 0.186 states/eV per atom